# 1
This record from Alexandria describes a relaxed VFe2HOs crystal. The functional is PBE-GGA.

Cell: 3.6651 3.6651 3.7922 Å, 90.00 90.00 90.00°
Space group P4/mmm (No. 123)
Asymmetric unit:
V1 0.0000 0.0000 0.0000 x1
Fe1 0.0000 0.5000 0.5000 x2
H1 0.5000 0.5000 0.5000 x1
Os1 0.5000 0.5000 0.0000 x1

Calculated values
crystal system = tetragonal
excess energy over the best structure of this formula in the dataset = 4.8 kJ per mole of atoms

***

# 2
This record from Alexandria describes a relaxed VFe2HOs crystal. The functional is PBE-GGA.

Cell: 3.6378 3.6378 3.7786 Å, 90.00 90.00 90.00°
Space group P4/mmm (No. 123)
Asymmetric unit:
V1 0.0000 0.0000 0.0000 x1
Fe1 0.0000 0.5000 0.5000 x2
H1 0.0000 0.0000 0.5000 x1
Os1 0.5000 0.5000 0.0000 x1

Calculated values
crystal system = tetragonal
excess energy over the best structure of this formula in the dataset = 0.0 kJ per mole of atoms

***

# 3
This record from Alexandria describes a relaxed VFeHOs2 crystal. The functional is PBE-GGA.

Cell: 3.8674 3.8674 3.6956 Å, 90.00 90.00 90.00°
Space group P4/mmm (No. 123)
Asymmetric unit:
V1 0.0000 0.0000 0.0000 x1
Fe1 0.5000 0.5000 0.0000 x1
H1 0.5000 0.5000 0.5000 x1
Os1 0.0000 0.5000 0.5000 x2

Calculated values
crystal system = tetragonal
final energy = -43.297 eV/cell

***

# 4
This record from Alexandria describes a relaxed FeHOs2W crystal. The functional is PBE-GGA.

Cell: 3.8936 3.8936 3.7933 Å, 90.00 90.00 90.00°
Space group P4/mmm (No. 123)
Asymmetric unit:
Fe1 0.0000 0.0000 0.0000 x1
H1 0.0000 0.0000 0.5000 x1
Os1 0.0000 0.5000 0.5000 x2
W1 0.5000 0.5000 0.0000 x1

Calculated values
crystal system = tetragonal
final energy = -46.793 eV/cell

***

# 5
This record from Alexandria describes a relaxed FeHOsW2 crystal. The functional is PBE-GGA.

Cell: 3.9702 3.9702 3.7658 Å, 90.00 90.00 90.00°
Space group P4/mmm (No. 123)
Asymmetric unit:
Fe1 0.0000 0.0000 0.0000 x1
H1 0.0000 0.0000 0.5000 x1
Os1 0.5000 0.5000 0.0000 x1
W1 0.0000 0.5000 0.5000 x2

Calculated values
crystal system = tetragonal
final energy = -48.352 eV/cell

***

# 6
This record from Alexandria describes a relaxed Y2FeHOs crystal. The functional is PBE-GGA.

Cell: 5.4041 5.4041 3.4098 Å, 90.00 90.00 90.00°
Space group P4/mmm (No. 123)
Asymmetric unit:
Y1 0.0000 0.5000 0.0000 x2
Fe1 0.0000 0.0000 0.5000 x1
H1 0.5000 0.5000 0.5000 x1
Os1 0.5000 0.5000 0.0000 x1

Calculated values
crystal system = tetragonal
excess energy over the best structure of this formula in the dataset = 57.0 kJ per mole of atoms

***

# 7
This record from Alexandria describes a relaxed Y2FeHOs crystal. The functional is PBE-GGA.

Cell: 4.8260 4.8260 3.4913 Å, 90.00 90.00 90.00°
Space group P4/mmm (No. 123)
Asymmetric unit:
Y1 0.0000 0.5000 0.0000 x2
Fe1 0.0000 0.0000 0.5000 x1
H1 0.0000 0.0000 0.0000 x1
Os1 0.5000 0.5000 0.5000 x1

Calculated values
crystal system = tetragonal
excess energy over the best structure of this formula in the dataset = 0.0 kJ per mole of atoms

***

# 8
This record from Alexandria describes a relaxed ZrFe2HOs crystal. The functional is PBE-GGA.

Cell: 3.9001 3.9001 3.9956 Å, 90.00 90.00 90.00°
Space group P4/mmm (No. 123)
Asymmetric unit:
Zr1 0.0000 0.0000 0.0000 x1
Fe1 0.0000 0.5000 0.5000 x2
H1 0.5000 0.5000 0.5000 x1
Os1 0.5000 0.5000 0.0000 x1

Calculated values
crystal system = tetragonal
final energy = -40.075 eV/cell

***

# 9
This record from Alexandria describes a relaxed Fe2PH crystal. The functional is PBE-GGA.

Cell: 5.2355 5.2355 5.2355 Å, 90.00 90.00 90.00°
Space group Fm-3m (No. 225)
Asymmetric unit:
Fe1 0.2500 0.2500 0.2500 x8
P1 0.0000 0.0000 0.0000 x4
H1 0.0000 0.0000 0.5000 x4

Calculated values
crystal system = cubic
excess energy over the best structure of this formula in the dataset = 0.0 kJ per mole of atoms

***

# 10
This record from Alexandria describes a relaxed Fe2PH crystal. The functional is PBE-GGA.

Cell: 3.5798 3.5798 14.4178 Å, 90.00 90.00 120.00°
Space group R-3m (No. 166, hexagonal axes)
Asymmetric unit:
Fe1 0.0000 0.0000 0.1127 x6
P1 0.0000 0.0000 0.5000 x3
H1 0.0000 0.0000 0.0000 x3

Calculated values
crystal system = trigonal
excess energy over the best structure of this formula in the dataset = 6.0 kJ per mole of atoms

***

# 11
This record from Alexandria describes a relaxed Fe2PH crystal. The functional is PBE-GGA.

Cell: 4.4061 4.4061 8.6594 Å, 90.00 90.00 90.00°
Space group I-42d (No. 122)
Asymmetric unit:
Fe1 0.1393 0.2500 0.1250 x8
P1 0.0000 0.0000 0.5000 x4
H1 0.0000 0.0000 0.0000 x4

Calculated values
crystal system = tetragonal
excess energy over the best structure of this formula in the dataset = 6.7 kJ per mole of atoms

***

# 12
This record from Alexandria describes a relaxed FePH2 crystal. The functional is PBE-GGA.

Cell: 3.1876 3.1876 13.0342 Å, 90.00 90.00 90.00°
Space group I-42d (No. 122)
Asymmetric unit:
Fe1 0.0000 0.0000 0.0000 x4
P1 0.0000 0.0000 0.5000 x4
H1 0.0041 0.2500 0.1250 x8

Calculated values
crystal system = tetragonal
excess energy over the best structure of this formula in the dataset = 0.0 kJ per mole of atoms

***

# 13
This record from Alexandria describes a relaxed FePH2 crystal. The functional is PBE-GGA.

Cell: 5.0072 5.0072 5.0072 Å, 90.00 90.00 90.00°
Space group Fm-3m (No. 225)
Asymmetric unit:
Fe1 0.0000 0.0000 0.0000 x4
P1 0.0000 0.0000 0.5000 x4
H1 0.2500 0.2500 0.2500 x8

Calculated values
crystal system = cubic
excess energy over the best structure of this formula in the dataset = 29.9 kJ per mole of atoms

***

# 14
This record from Alexandria describes a relaxed Fe3PH crystal. The functional is PBE-GGA.

Cell: 3.5242 3.5242 3.5242 Å, 90.00 90.00 90.00°
Space group Pm-3m (No. 221)
Asymmetric unit:
Fe1 0.0000 0.0000 0.5000 x3
P1 0.5000 0.5000 0.5000 x1
H1 0.0000 0.0000 0.0000 x1

Calculated values
crystal system = cubic
excess energy over the best structure of this formula in the dataset = 0.0 kJ per mole of atoms

***

# 15
This record from Alexandria describes a relaxed Fe2PH2 crystal. The functional is PBE-GGA.

Cell: 2.7371 2.7371 9.7533 Å, 90.00 90.00 90.00°
Space group I4/mmm (No. 139)
Asymmetric unit:
Fe1 0.0000 0.0000 0.1327 x4
P1 0.0000 0.0000 0.5000 x2
H1 0.0000 0.5000 0.2500 x4

Calculated values
crystal system = tetragonal
final energy = -58.799 eV/cell

***

# 16
This record from Alexandria describes a relaxed PaFePH crystal. The functional is PBE-GGA.

Cell: 3.9036 3.9036 6.6560 Å, 90.00 90.00 90.00°
Space group P4/nmm (No. 129, origin choice 2)
Asymmetric unit:
Pa1 0.2500 0.2500 0.1772 x2
Fe1 0.2500 0.7500 0.5000 x2
P1 0.2500 0.2500 0.6851 x2
H1 0.2500 0.7500 0.0000 x2

Calculated values
crystal system = tetragonal
final energy = -60.182 eV/cell

***

# 17
This record from Alexandria describes a relaxed Fe2PHPb crystal. The functional is PBE-GGA.

Cell: 4.2596 4.2596 5.8029 Å, 90.00 90.00 90.00°
Space group P4/mmm (No. 123)
Asymmetric unit:
Fe1 0.0000 0.5000 0.0000 x2
P1 0.0000 0.0000 0.0000 x1
H1 0.5000 0.5000 0.5000 x1
Pb1 0.0000 0.0000 0.5000 x1

Calculated values
crystal system = tetragonal
final energy = -25.225 eV/cell

***

# 18
This record from Alexandria describes a relaxed FePHPt2 crystal. The functional is PBE-GGA.

Cell: 4.8097 4.8097 2.9509 Å, 90.00 90.00 90.00°
Space group P4/mmm (No. 123)
Asymmetric unit:
Fe1 0.0000 0.0000 0.0000 x1
P1 0.5000 0.5000 0.5000 x1
H1 0.0000 0.0000 0.5000 x1
Pt1 0.0000 0.5000 0.0000 x2

Calculated values
crystal system = tetragonal
final energy = -26.826 eV/cell

***

# 19
This record from Alexandria describes a relaxed FeSiPHPt crystal. The functional is PBE-GGA.

Cell: 7.7562 2.8248 5.7282 Å, 90.00 108.94 90.00°
Space group Cm (No. 8)
Asymmetric unit:
Fe1 0.0000 0.0000 0.0000 x2
Si1 0.1722 0.5000 0.3203 x2
P1 0.2589 0.0000 0.8897 x2
H1 0.3920 0.5000 0.2101 x2
Pt1 0.0019 0.0000 0.5316 x2

Calculated values
crystal system = monoclinic
excess energy over the best structure of this formula in the dataset = 2.8 kJ per mole of atoms

***

# 20
This record from Alexandria describes a relaxed FeSiPHPt crystal. The functional is PBE-GGA.

Cell: 3.9193 4.0243 4.3233 Å, 88.27 71.89 69.75°
Space group P1 (No. 1)
Asymmetric unit:
Fe1 0.0000 0.0000 0.0000 x1
Si1 0.6261 0.6570 0.0748 x1
P1 0.9934 0.8067 0.4980 x1
H1 0.2775 0.1758 0.7143 x1
Pt1 0.5796 0.4116 0.6031 x1

Calculated values
crystal system = triclinic
excess energy over the best structure of this formula in the dataset = 7.6 kJ per mole of atoms